1.
! ErPuPb2O8 | the Alexandria database | PBE | relaxed; values from VASP
! Magnetization in μB per cell: 2.720
! Crystal system: orthorhombic
! D(E_F) in states/eV/cell: 5.5
! Raw total energy in eV/atom: -7.485
! Space-group type: No. 65
&SYSTEM
  ibrav = 0, nat = 12, ntyp = 4
/
ATOMIC_SPECIES
Er 167.26 Er.upf
Pu 244.00 Pu.upf
Pb 207.20 Pb.upf
O 16.00 O.upf
ATOMIC_POSITIONS angstrom
Er -0.828 3.229 0.750
Pu 0.000 0.000 0.000
Pb -4.777 3.957 1.024
Pb -3.951 0.736 0.276
O -3.854 0.100 2.498
O -4.943 -1.234 -0.139
O -3.983 1.114 -2.007
O -4.874 4.593 -1.198
O -3.785 5.927 1.439
O -4.746 3.579 3.307
O -5.733 2.004 0.614
O -2.995 2.689 0.686
CELL_PARAMETERS angstrom
-3.636 -0.083 -3.656
-3.437 -1.683 3.456
-1.655 6.459 1.500

---

2.
! Er2PuPbO8 | the Alexandria database | PBE | relaxed; values from VASP
! Magnetization in μB per cell: 2.005
! Crystal system: orthorhombic
! D(E_F) in states/eV/cell: 4.1
! Raw total energy in eV/atom: -8.114
! Space-group type: No. 65
&SYSTEM
  ibrav = 0, nat = 12, ntyp = 4
/
ATOMIC_SPECIES
Er 167.26 Er.upf
Pu 244.00 Pu.upf
Pb 207.20 Pb.upf
O 16.00 O.upf
ATOMIC_POSITIONS angstrom
Er 2.474 2.465 5.227
Er 2.472 2.462 1.750
Pu 0.000 0.000 0.000
Pb 0.002 0.004 3.492
O 0.873 4.067 1.591
O 3.494 3.479 -0.006
O 4.071 0.856 1.592
O 4.073 0.860 5.386
O 1.448 1.440 -0.002
O 0.875 4.071 5.385
O 3.445 3.432 3.487
O 1.502 1.494 3.490
CELL_PARAMETERS angstrom
5.030 -0.112 -0.003
-0.088 5.031 -0.005
0.004 0.007 6.985

---

3.
! ErPuPb2O6 | the Alexandria database | PBE | relaxed; values from VASP
! Magnetization in μB per cell: 6.000
! Crystal system: monoclinic
! D(E_F) in states/eV/cell: 18.9
! Raw total energy in eV/atom: -7.917
! Space-group type: No. 14
&SYSTEM
  ibrav = 0, nat = 20, ntyp = 4
/
ATOMIC_SPECIES
Er 167.26 Er.upf
Pu 244.00 Pu.upf
Pb 207.20 Pb.upf
O 16.00 O.upf
ATOMIC_POSITIONS angstrom
Er 2.988 0.000 -0.008
Er 0.015 3.043 4.279
Pu 3.003 0.000 4.271
Pu 0.000 3.043 0.000
Pb 0.039 5.898 2.152
Pb 3.042 3.230 6.424
Pb 5.967 0.187 6.390
Pb 2.964 2.856 2.119
O 1.752 4.235 0.374
O 4.755 4.893 4.645
O 4.255 1.850 8.168
O 1.251 1.193 3.897
O 1.842 4.321 3.872
O 4.845 4.808 8.144
O 4.165 1.765 4.670
O 1.161 1.278 0.399
O 5.441 3.191 2.077
O 2.468 5.937 6.363
O 0.566 2.894 6.466
O 3.539 0.148 2.180
CELL_PARAMETERS angstrom
5.976 0.000 -0.015
0.000 6.086 0.000
0.030 0.000 8.557

---

4.
! Rb2Er2PbO6 | the Alexandria database | PBE | relaxed; values from VASP
! Magnetization in μB per cell: 0.000
! Crystal system: monoclinic
! D(E_F) in states/eV/cell: 0.0
! Raw total energy in eV/atom: -6.307
! Space-group type: No. 12
&SYSTEM
  ibrav = 0, nat = 11, ntyp = 4
/
ATOMIC_SPECIES
Rb 85.47 Rb.upf
Er 167.26 Er.upf
Pb 207.20 Pb.upf
O 16.00 O.upf
ATOMIC_POSITIONS angstrom
Rb 4.465 0.836 0.070
Rb -1.480 4.295 0.070
Er -0.505 2.524 3.399
Er 2.444 0.809 3.399
Pb -0.523 -0.899 3.329
O 1.484 2.552 4.548
O -1.544 0.787 4.481
O 0.455 0.782 2.251
O 1.448 -0.953 4.481
O 3.483 2.546 2.318
O 0.492 4.286 2.318
CELL_PARAMETERS angstrom
5.942 -0.023 0.070
-2.957 5.154 0.070
-1.046 -1.798 6.658